Record 1
Crystalline Ba3In3Pd8 at its relaxed geometry, computed with PBE.

Cell lengths 4.6114, 9.0762, 9.0762 Å; angles 72.62, 75.28, 75.28 degrees
Fractional positions:
Pd (0.3940, 0.3184, 0.8937)
Pd (0.1968, 0.0976, 0.5087)
Pd (0.6060, 0.1063, 0.6816)
Pd (0.6060, 0.6816, 0.1063)
Pd (0.8032, 0.4913, 0.9024)
Pd (0.1968, 0.5087, 0.0976)
Pd (0.3940, 0.8937, 0.3184)
Pd (0.8032, 0.9024, 0.4913)
Ba (0.5000, 0.5000, 0.5000)
Ba (0.2142, 0.7858, 0.7858)
Ba (0.7858, 0.2142, 0.2142)
In (0.0000, 0.2380, 0.7620)
In (0.0000, 0.7620, 0.2380)
In (0.5000, 0.0000, 0.0000)

Summary:
- SG: Immm, No. 71
- Uncorrected energy: -62.5 eV/cell
- D(E_F): 8.5 states/eV per cell
- E_form: -7.0 eV per formula unit



Record 2
Crystalline CsAc2Tm at its relaxed geometry, computed with PBE.

Cell lengths 3.9301, 3.9301, 14.2201 Å; angles 82.06, 82.06, 60.00 degrees
Fractional positions:
Cs (0.0000, 0.0000, 0.0000)
Tm (0.5000, 0.5000, 0.5000)
Ac (0.0978, 0.0978, 0.7066)
Ac (0.9022, 0.9022, 0.2934)

Summary:
- SG: R-3m, No. 166
- Uncorrected energy: -12.5 eV/cell
- D(E_F): 4.2 states/eV per cell
- E_form: 1.0 eV per formula unit



Record 3
Crystalline BeZnAg at its relaxed geometry, computed with PBE.

Cell lengths 4.1549, 4.1549, 2.7492 Å; angles 90.00, 90.00, 120.00 degrees
Fractional positions:
Be (0.6667, 0.3333, 0.4600)
Ag (0.0000, 0.0000, 0.0109)
Zn (0.3333, 0.6667, 0.5291)

Summary:
- SG: P3m1, No. 156
- Relative energy among the computed polymorphs: 137 meV/atom
- Uncorrected energy: -7.3 eV/cell
- D(E_F): 0.9 states/eV per cell
- E_form: 0.6 eV per formula unit



Record 4
Crystalline Ce2Ni5Ir2Au at its relaxed geometry, computed with PBE.

Cell lengths 3.9303, 9.0584, 9.0584 Å; angles 90.00, 90.00, 90.00 degrees
Fractional positions:
Ce (0.0000, 0.3233, 0.8233)
Ce (0.0000, 0.1767, 0.3233)
Ce (0.0000, 0.8233, 0.6767)
Ce (0.0000, 0.6767, 0.1767)
Ni (0.5000, 0.9429, 0.2008)
Ni (0.5000, 0.7008, 0.4429)
Ni (0.5000, 0.5571, 0.7008)
Ni (0.5000, 0.4429, 0.2992)
Ni (0.5000, 0.2008, 0.0571)
Ni (0.5000, 0.5000, 0.0000)
Ni (0.5000, 0.0571, 0.7992)
Ni (0.5000, 0.7992, 0.9429)
Ni (0.5000, 0.2992, 0.5571)
Ni (0.5000, 0.0000, 0.5000)
Ir (0.0000, 0.8753, 0.3753)
Ir (0.0000, 0.3753, 0.1247)
Ir (0.0000, 0.6247, 0.8753)
Ir (0.0000, 0.1247, 0.6247)
Au (0.0000, 0.5000, 0.5000)
Au (0.0000, 0.0000, 0.0000)

Summary:
- SG: P4/mbm, No. 127
- Uncorrected energy: -129.8 eV/cell
- D(E_F): 21.6 states/eV per cell
- E_form: -3.1 eV per formula unit



Record 5
Crystalline Sr2NdErSe4 at its relaxed geometry, computed with PBE.

Cell lengths 4.2362, 7.3490, 7.5010 Å; angles 108.99, 90.00, 90.00 degrees
Fractional positions:
Se (0.0000, 0.7545, 0.2369)
Se (0.5000, 0.2355, 0.2310)
Se (0.5000, 0.7645, 0.7690)
Se (0.0000, 0.2455, 0.7631)
Sr (0.0000, 0.5000, 0.5000)
Sr (0.5000, 0.0000, 0.5000)
Nd (0.5000, 0.5000, 0.0000)
Er (0.0000, 0.0000, 0.0000)

Summary:
- E_form (uncorrected): -1.88 eV per atom
- SG: P2/m, No. 10
- Uncorrected energy: -41.7 eV/cell
- D(E_F): 3.5 states/eV per cell



Record 6
Crystalline CaTlAgN at its relaxed geometry, computed with PBE.

Cell lengths 7.9418, 3.4604, 6.2225 Å; angles 90.00, 97.68, 90.00 degrees
Fractional positions:
N (0.6675, 0.5000, 0.3608)
N (0.6675, 0.0000, 0.8608)
Ag (0.1738, 0.5000, 0.2616)
Ag (0.1738, 0.0000, 0.7616)
Tl (0.8580, 0.0000, 0.2345)
Tl (0.8580, 0.5000, 0.7345)
Ca (0.5255, 0.0000, 0.5051)
Ca (0.5255, 0.5000, 0.0051)

Summary:
- E_form (uncorrected): -0.01 eV per atom
- SG: Cm, No. 8
- Relative energy among the computed polymorphs: 166 meV/atom
- Uncorrected energy: -31.1 eV/cell
- D(E_F): 2.7 states/eV per cell



Record 7
Crystalline Ca3PdW at its relaxed geometry, computed with PBE.

Cell lengths 5.3849, 5.3849, 5.3849 Å; angles 90.00, 90.00, 90.00 degrees
Fractional positions:
W (0.0000, 0.0000, 0.0000)
Pd (0.5000, 0.5000, 0.5000)
Ca (0.0000, 0.0000, 0.5000)
Ca (0.0000, 0.5000, 0.0000)
Ca (0.5000, 0.0000, 0.0000)

Summary:
- SG: Pm-3m, No. 221
- Relative energy among the computed polymorphs: 367 meV/atom
- Uncorrected energy: -18.6 eV/cell
- D(E_F): 3.0 states/eV per cell
- E_form: 5.6 eV per formula unit



Record 8
Crystalline BeReTc2 at its relaxed geometry, computed with PBE.

Cell lengths 7.0012, 7.0012, 5.4467 Å; angles 50.01, 50.01, 90.00 degrees
Fractional positions:
Tc (0.5403, 0.1250, 0.2500)
Tc (0.8750, 0.7903, 0.7500)
Tc (0.3750, 0.4597, 0.7500)
Tc (0.2097, 0.6250, 0.2500)
Be (0.2500, 0.7500, 0.5000)
Be (0.5000, 0.5000, 0.0000)
Re (0.0000, 0.0000, 0.0000)
Re (0.7500, 0.2500, 0.5000)

Summary:
- SG: I-42d, No. 122
- Uncorrected energy: -69.1 eV/cell
- D(E_F): 8.4 states/eV per cell
- E_form: 2.3 eV per formula unit



Record 9
Crystalline CaLa4Nd7 at its relaxed geometry, computed with PBE.

Cell lengths 7.4440, 9.3270, 9.8644 Å; angles 81.40, 41.09, 90.27 degrees
Fractional positions:
Nd (0.0292, 0.3318, 0.7176)
Nd (0.7548, 0.9993, 0.4989)
Nd (0.5000, 0.0000, 0.0000)
Nd (0.2252, 0.6606, 0.7752)
Nd (0.9708, 0.6682, 0.2824)
Nd (0.7748, 0.3394, 0.2248)
Nd (0.2452, 0.0007, 0.5011)
La (0.2807, 0.3269, 0.2182)
La (0.7193, 0.6731, 0.7818)
La (0.4584, 0.6655, 0.2862)
La (0.5416, 0.3345, 0.7138)
Ca (0.0000, 0.0000, 0.0000)

Summary:
- SG: P-1, No. 2
- Uncorrected energy: -54.7 eV/cell
- D(E_F): 17.5 states/eV per cell
- E_form: 0.4 eV per formula unit



Record 10
Crystalline NbZnAs2 at its relaxed geometry, computed with PBE.

Cell lengths 3.5830, 3.5830, 7.1369 Å; angles 75.46, 75.46, 60.00 degrees
Fractional positions:
As (0.0807, 0.0807, 0.7578)
As (0.2517, 0.2517, 0.2449)
Nb (0.6641, 0.6641, 0.0077)
Zn (0.5035, 0.5035, 0.4896)

Summary:
- SG: R3m, No. 160
- Uncorrected energy: -21.2 eV/cell
- D(E_F): 3.1 states/eV per cell
- E_form: -0.5 eV per formula unit



Record 11
Crystalline UPCl at its relaxed geometry, computed with PBE.

Cell lengths 4.0524, 8.1850, 11.0451 Å; angles 86.04, 100.57, 90.00 degrees
Fractional positions:
Cl (0.0661, 0.1932, 0.1323)
Cl (0.9339, 0.8068, 0.8677)
Cl (0.6028, 0.8029, 0.2057)
Cl (0.3972, 0.1971, 0.7943)
P (0.2185, 0.9621, 0.4369)
P (0.3028, 0.5973, 0.6056)
P (0.7815, 0.0379, 0.5631)
P (0.6972, 0.4027, 0.3944)
U (0.7267, 0.7177, 0.4534)
U (0.3536, 0.8909, 0.7071)
U (0.2733, 0.2823, 0.5466)
U (0.6464, 0.1091, 0.2929)

Summary:
- E_form (uncorrected): -1.06 eV per atom
- SG: C2/m, No. 12
- Relative energy among the computed polymorphs: 19 meV/atom
- Uncorrected energy: -86.8 eV/cell
- D(E_F): 16.3 states/eV per cell



Record 12
Crystalline Hf2ZrMo at its relaxed geometry, computed with PBE.

Cell lengths 3.4258, 4.8494, 4.8494 Å; angles 90.00, 90.00, 90.00 degrees
Fractional positions:
Mo (0.5000, 0.0000, 0.0000)
Hf (0.0000, 0.5000, 0.0000)
Hf (0.0000, 0.0000, 0.5000)
Zr (0.5000, 0.5000, 0.5000)

Summary:
- SG: P4/mmm, No. 123
- Relative energy among the computed polymorphs: 129 meV/atom
- Uncorrected energy: -38.8 eV/cell
- D(E_F): 7.1 states/eV per cell
- E_form: 0.5 eV per formula unit